Below is an optimized crystal structure of Rb2MgPb, with properties calculated at the PBE-GGA level.

Calculated values
**M_tot**: 0.000 μB per atom
**N(E_F)**: 2.949 states/eV per cell
**Symmetry**: I-42d (122)
**VASP energy**: -1.7261 eV/atom

Cell: 10.513 10.513 10.513 Å, 93.88 93.88 149.86°
Element x y z (fractional)
Rb (0.375, 0.177, 0.302)
Rb (0.823, 0.125, 0.198)
Rb (0.875, 0.073, 0.698)
Rb (0.927, 0.625, 0.802)
Mg (0.250, 0.750, 0.500)
Mg (0.500, 0.500, 0.000)
Pb (0.000, 0.000, 0.000)
Pb (0.750, 0.250, 0.500)


Below is an optimized crystal structure of SrMn2IN, with properties calculated at the PBE-GGA level.

Calculated values
**ΔE_f (raw)**: 380.0 meV/atom
**M_tot**: 0.125 μB per atom
**N(E_F)**: 8.203 states/eV per cell
**Symmetry**: P4/mmm (123)
**VASP energy**: -5.5993 eV/atom

Cell: 4.046 4.046 5.396 Å, 90.00 90.00 90.00°
Element x y z (fractional)
Sr (0.000, 0.000, 0.000)
Mn (0.000, 0.500, 0.500)
Mn (0.500, 0.000, 0.500)
I (0.500, 0.500, 0.000)
N (0.000, 0.000, 0.500)


Below is an optimized crystal structure of YTh4Pt5, with properties calculated at the PBE-GGA level.

Calculated values
**M_tot**: 0.000 μB per atom
**N(E_F)**: 6.241 states/eV per cell
**Symmetry**: I4 (79)
**VASP energy**: -7.8304 eV/atom

Cell: 7.235 7.235 7.235 Å, 99.61 99.61 131.77°
Element x y z (fractional)
Y (0.000, 0.000, 0.000)
Th (0.199, 0.597, 0.799)
Th (0.400, 0.199, 0.602)
Th (0.597, 0.798, 0.398)
Th (0.798, 0.400, 0.201)
Pt (0.099, 0.299, 0.401)
Pt (0.299, 0.898, 0.200)
Pt (0.500, 0.500, 0.000)
Pt (0.698, 0.099, 0.800)
Pt (0.898, 0.698, 0.599)


Below is an optimized crystal structure of PrTh2Os, with properties calculated at the PBE-GGA level.

Calculated values
**M_tot**: 0.000 μB per atom
**N(E_F)**: 5.475 states/eV per cell
**Polymorph energy (0 for the lowest one)**: 0.000 eV per atom
**Symmetry**: R3m (160)
**VASP energy**: -7.8059 eV/atom

Cell: 9.293 9.293 9.293 Å, 25.49 25.49 25.49°
Element x y z (fractional)
Pr (0.000, 0.000, 0.000)
Th (0.556, 0.556, 0.556)
Th (0.775, 0.775, 0.775)
Os (0.164, 0.164, 0.164)